Entry 1:
! Cd9Hg2Bi PBE-GGA relaxed; values from VASP
&SYSTEM
  ibrav = 0, nat = 12, ntyp = 3
/
ATOMIC_SPECIES
Cd 112.41 Cd.upf
Bi 208.98 Bi.upf
Hg 200.59 Hg.upf
CELL_PARAMETERS angstrom
4.565 0.000 0.000
0.000 4.565 0.000
0.000 0.000 13.796
ATOMIC_POSITIONS crystal
Cd 0.500 0.500 0.336
Cd 0.500 0.000 0.500
Cd 0.500 0.500 0.000
Cd 0.000 0.500 0.175
Cd 0.500 0.000 0.175
Cd 0.000 0.500 0.825
Cd 0.000 0.500 0.500
Cd 0.500 0.000 0.825
Cd 0.500 0.500 0.664
Bi 0.000 0.000 0.000
Hg 0.000 0.000 0.661
Hg 0.000 0.000 0.339
! Space-group type   P4/mmm (123)
! Energy relative to the lowest polymorph listed for this composition   0.0000 eV per atom

Entry 2:
! Cd12HgBi6 PBE-GGA relaxed; values from VASP
&SYSTEM
  ibrav = 0, nat = 19, ntyp = 3
/
ATOMIC_SPECIES
Cd 112.41 Cd.upf
Bi 208.98 Bi.upf
Hg 200.59 Hg.upf
CELL_PARAMETERS angstrom
8.166 0.058 0.435
0.415 8.156 0.435
0.061 0.058 8.177
ATOMIC_POSITIONS crystal
Cd 0.858 0.416 0.435
Cd 0.435 0.858 0.416
Cd 0.352 0.099 0.066
Cd 0.934 0.648 0.901
Cd 0.901 0.934 0.648
Cd 0.584 0.565 0.142
Cd 0.066 0.352 0.099
Cd 0.416 0.435 0.858
Cd 0.142 0.584 0.565
Cd 0.565 0.142 0.584
Cd 0.099 0.066 0.352
Cd 0.648 0.901 0.934
Bi 0.672 0.193 0.211
Bi 0.789 0.328 0.807
Bi 0.328 0.807 0.789
Bi 0.193 0.211 0.672
Bi 0.807 0.789 0.328
Bi 0.211 0.672 0.193
Hg 0.000 0.000 0.000
! Space-group type   R-3 (148)

Entry 3:
! Cd7Hg2Bi PBE-GGA relaxed; values from VASP
&SYSTEM
  ibrav = 0, nat = 10, ntyp = 3
/
ATOMIC_SPECIES
Hg 200.59 Hg.upf
Cd 112.41 Cd.upf
Bi 208.98 Bi.upf
CELL_PARAMETERS angstrom
4.775 0.000 0.000
0.000 8.724 -0.627
0.000 -4.412 7.553
ATOMIC_POSITIONS crystal
Hg 0.500 0.696 0.304
Hg 0.500 0.304 0.696
Cd 0.500 0.917 0.704
Cd 0.000 0.796 0.204
Cd 0.500 0.500 0.500
Cd 0.500 0.704 0.917
Cd 0.500 0.296 0.083
Cd 0.000 0.204 0.796
Cd 0.500 0.083 0.296
Bi 0.000 0.000 0.000
! Space-group type   Cmmm (65)
! Energy relative to the lowest polymorph listed for this composition   0.0776 eV per atom

Entry 4:
! Cd6Hg3Bi PBE-GGA relaxed; values from VASP
&SYSTEM
  ibrav = 0, nat = 20, ntyp = 3
/
ATOMIC_SPECIES
Cd 112.41 Cd.upf
Bi 208.98 Bi.upf
Hg 200.59 Hg.upf
CELL_PARAMETERS angstrom
7.466 0.000 0.000
0.000 8.569 -0.536
0.000 -2.435 8.233
ATOMIC_POSITIONS crystal
Cd 0.317 0.020 0.454
Cd 0.817 0.454 0.020
Cd 0.549 0.229 0.771
Cd 0.317 0.546 0.980
Cd 0.049 0.771 0.229
Cd 0.762 0.033 0.967
Cd 0.817 0.980 0.546
Cd 0.262 0.967 0.033
Cd 0.625 0.256 0.437
Cd 0.125 0.437 0.256
Cd 0.625 0.563 0.744
Cd 0.125 0.744 0.563
Bi 0.103 0.175 0.825
Bi 0.603 0.825 0.175
Hg 0.227 0.408 0.592
Hg 0.480 0.861 0.700
Hg 0.480 0.300 0.139
Hg 0.980 0.700 0.861
Hg 0.980 0.139 0.300
Hg 0.727 0.592 0.408
! Space-group type   Cmc2_1 (36)

Entry 5:
! Cd3Hg3Bi PBE-GGA relaxed; values from VASP
&SYSTEM
  ibrav = 0, nat = 14, ntyp = 3
/
ATOMIC_SPECIES
Cd 112.41 Cd.upf
Hg 200.59 Hg.upf
Bi 208.98 Bi.upf
CELL_PARAMETERS angstrom
-5.395 0.350 0.299
-0.616 -8.629 -1.011
0.664 3.412 7.986
ATOMIC_POSITIONS crystal
Cd 0.250 0.951 0.182
Cd 0.750 0.769 0.951
Cd 0.250 0.818 0.769
Cd 0.750 0.182 0.231
Cd 0.750 0.049 0.818
Cd 0.250 0.231 0.049
Hg 0.250 0.357 0.453
Hg 0.250 0.096 0.643
Hg 0.750 0.904 0.357
Hg 0.750 0.643 0.547
Hg 0.750 0.453 0.096
Hg 0.250 0.547 0.904
Bi 0.750 0.333 0.667
Bi 0.250 0.667 0.333
! Space-group type   P6_3/m (176)
! Energy relative to the lowest polymorph listed for this composition   0.0280 eV per atom

Entry 6:
! Cd7Hg2Bi2 PBE-GGA relaxed; values from VASP
&SYSTEM
  ibrav = 0, nat = 11, ntyp = 3
/
ATOMIC_SPECIES
Hg 200.59 Hg.upf
Cd 112.41 Cd.upf
Bi 208.98 Bi.upf
CELL_PARAMETERS angstrom
-0.746 1.151 -6.282
-6.593 -2.662 0.119
-2.489 5.802 1.222
ATOMIC_POSITIONS crystal
Hg 0.368 0.618 0.368
Hg 0.632 0.382 0.632
Cd 0.946 0.698 0.573
Cd 0.427 0.302 0.054
Cd 0.171 0.954 0.171
Cd 0.054 0.302 0.427
Cd 0.000 0.500 0.000
Cd 0.573 0.698 0.946
Cd 0.829 0.046 0.829
Bi 0.700 0.000 0.300
Bi 0.300 0.000 0.700
! Space-group type   C2/m (12)
! Energy relative to the lowest polymorph listed for this composition   0.0175 eV per atom

Entry 7:
! Cd6Hg10Bi PBE-GGA relaxed; values from VASP
&SYSTEM
  ibrav = 0, nat = 17, ntyp = 3
/
ATOMIC_SPECIES
Hg 200.59 Hg.upf
Cd 112.41 Cd.upf
Bi 208.98 Bi.upf
CELL_PARAMETERS angstrom
7.300 0.423 -0.432
0.781 8.054 -4.174
-0.620 -0.215 7.819
ATOMIC_POSITIONS crystal
Hg 0.491 0.655 0.272
Hg 0.969 0.355 0.730
Hg 0.852 0.026 0.340
Hg 0.509 0.345 0.728
Hg 0.148 0.974 0.660
Hg 0.101 0.814 0.980
Hg 0.899 0.186 0.020
Hg 0.837 0.654 0.611
Hg 0.163 0.346 0.389
Hg 0.031 0.645 0.270
Cd 0.287 0.335 0.012
Cd 0.335 0.016 0.364
Cd 0.665 0.984 0.636
Cd 0.713 0.665 0.988
Cd 0.631 0.350 0.348
Cd 0.369 0.650 0.652
Bi 0.500 0.000 0.000
! Space-group type   P-1 (2)

Entry 8:
! Cd6Hg4Bi PBE-GGA relaxed; values from VASP
&SYSTEM
  ibrav = 0, nat = 11, ntyp = 3
/
ATOMIC_SPECIES
Cd 112.41 Cd.upf
Hg 200.59 Hg.upf
Bi 208.98 Bi.upf
CELL_PARAMETERS angstrom
-7.058 -0.489 2.521
3.576 -6.420 -1.555
5.234 2.433 4.806
ATOMIC_POSITIONS crystal
Cd 0.726 0.152 0.152
Cd 0.500 0.500 0.000
Cd 0.000 0.574 0.848
Cd 0.500 0.000 0.500
Cd 0.000 0.848 0.574
Cd 0.274 0.426 0.426
Hg 0.598 0.372 0.372
Hg 0.402 0.774 0.774
Hg 0.000 0.628 0.226
Hg 0.000 0.226 0.628
Bi 0.000 0.000 0.000
! Space-group type   I-42m (121)
! Energy relative to the lowest polymorph listed for this composition   0.0802 eV per atom

Entry 9:
! Cd8Hg3Bi2 PBE-GGA relaxed; values from VASP
&SYSTEM
  ibrav = 0, nat = 13, ntyp = 3
/
ATOMIC_SPECIES
Hg 200.59 Hg.upf
Cd 112.41 Cd.upf
Bi 208.98 Bi.upf
CELL_PARAMETERS angstrom
-3.729 2.634 0.721
0.434 3.053 -8.817
-5.110 -7.802 2.010
ATOMIC_POSITIONS crystal
Hg 0.500 0.000 0.000
Hg 0.000 0.265 0.985
Hg 0.000 0.735 0.015
Cd 0.999 0.615 0.248
Cd 0.000 0.122 0.244
Cd 0.500 0.373 0.230
Cd 0.500 0.127 0.738
Cd 0.500 0.873 0.262
Cd 0.500 0.627 0.770
Cd 0.000 0.878 0.756
Cd 0.001 0.385 0.752
Bi 0.499 0.740 0.502
Bi 0.501 0.260 0.498
! Space-group type   P-1 (2)
! Energy relative to the lowest polymorph listed for this composition   0.0000 eV per atom

Entry 10:
! Cd7Hg12Bi PBE-GGA relaxed; values from VASP
&SYSTEM
  ibrav = 0, nat = 20, ntyp = 3
/
ATOMIC_SPECIES
Cd 112.41 Cd.upf
Hg 200.59 Hg.upf
Bi 208.98 Bi.upf
CELL_PARAMETERS angstrom
-4.992 6.409 -0.770
-3.096 -6.532 -5.470
-8.299 -2.706 2.447
ATOMIC_POSITIONS crystal
Cd 0.010 0.217 0.641
Cd 0.349 0.359 0.858
Cd 0.793 0.142 0.217
Cd 0.207 0.858 0.783
Cd 0.500 0.000 0.000
Cd 0.990 0.783 0.359
Cd 0.651 0.641 0.142
Hg 0.605 0.349 0.047
Hg 0.937 0.503 0.208
Hg 0.744 0.396 0.651
Hg 0.063 0.497 0.792
Hg 0.395 0.651 0.953
Hg 0.855 0.792 0.711
Hg 0.652 0.047 0.604
Hg 0.434 0.289 0.503
Hg 0.566 0.711 0.497
Hg 0.256 0.604 0.349
Hg 0.348 0.953 0.396
Hg 0.145 0.208 0.289
Bi 0.000 0.000 0.000
! Space-group type   R-3 (148)
! Energy relative to the lowest polymorph listed for this composition   0.0000 eV per atom

Entry 11:
! Cd2Hg2Bi PBE-GGA relaxed; values from VASP
&SYSTEM
  ibrav = 0, nat = 10, ntyp = 3
/
ATOMIC_SPECIES
Hg 200.59 Hg.upf
Cd 112.41 Cd.upf
Bi 208.98 Bi.upf
CELL_PARAMETERS angstrom
8.696 0.000 0.000
0.000 8.696 0.000
0.000 0.000 3.415
ATOMIC_POSITIONS crystal
Hg 0.329 0.829 0.000
Hg 0.829 0.671 0.000
Hg 0.671 0.171 0.000
Hg 0.171 0.329 0.000
Cd 0.127 0.627 0.500
Cd 0.873 0.373 0.500
Cd 0.373 0.127 0.500
Cd 0.627 0.873 0.500
Bi 0.500 0.500 0.000
Bi 0.000 0.000 0.000
! Space-group type   P4/mbm (127)
! Energy relative to the lowest polymorph listed for this composition   0.0135 eV per atom

Entry 12:
! CdHgBi3 PBE-GGA relaxed; values from VASP
&SYSTEM
  ibrav = 0, nat = 5, ntyp = 3
/
ATOMIC_SPECIES
Cd 112.41 Cd.upf
Hg 200.59 Hg.upf
Bi 208.98 Bi.upf
CELL_PARAMETERS angstrom
5.744 0.000 0.000
0.000 5.744 0.000
0.000 0.000 5.744
ATOMIC_POSITIONS crystal
Cd 0.000 0.000 0.000
Hg 0.500 0.500 0.500
Bi 0.500 0.000 0.000
Bi 0.000 0.000 0.500
Bi 0.000 0.500 0.000
! Space-group type   Pm-3m (221)
! Energy relative to the lowest polymorph listed for this composition   0.0000 eV per atom

Entry 13:
! CdHgBi2 PBE-GGA relaxed; values from VASP
&SYSTEM
  ibrav = 0, nat = 4, ntyp = 3
/
ATOMIC_SPECIES
Hg 200.59 Hg.upf
Bi 208.98 Bi.upf
Cd 112.41 Cd.upf
CELL_PARAMETERS angstrom
-0.662 1.730 -2.897
-5.395 -1.877 0.111
-1.525 4.566 3.075
ATOMIC_POSITIONS crystal
Hg 0.500 0.500 0.500
Bi 0.000 0.500 0.000
Bi 0.000 0.000 0.500
Cd 0.500 0.000 0.000
! Space-group type   P4/mmm (123)
! Energy relative to the lowest polymorph listed for this composition   0.0243 eV per atom

Entry 14:
! Cd6Hg5Bi PBE-GGA relaxed; values from VASP
&SYSTEM
  ibrav = 0, nat = 12, ntyp = 3
/
ATOMIC_SPECIES
Cd 112.41 Cd.upf
Hg 200.59 Hg.upf
Bi 208.98 Bi.upf
CELL_PARAMETERS angstrom
5.003 -0.022 -1.414
-3.520 7.231 -2.915
-0.315 -0.274 8.544
ATOMIC_POSITIONS crystal
Cd 0.260 0.085 0.431
Cd 0.740 0.569 0.915
Cd 0.740 0.915 0.569
Cd 0.260 0.431 0.085
Cd 0.238 0.740 0.740
Cd 0.762 0.260 0.260
Hg 0.000 0.333 0.667
Hg 0.000 0.667 0.333
Hg 0.500 0.163 0.837
Hg 0.500 0.837 0.163
Hg 0.500 0.500 0.500
Bi 0.000 0.000 0.000
! Space-group type   C2/m (12)

Entry 15:
! Cd14HgBi PBE-GGA relaxed; values from VASP
&SYSTEM
  ibrav = 0, nat = 16, ntyp = 3
/
ATOMIC_SPECIES
Cd 112.41 Cd.upf
Hg 200.59 Hg.upf
Bi 208.98 Bi.upf
CELL_PARAMETERS angstrom
6.263 1.281 0.000
-1.276 6.264 0.000
0.000 0.000 9.251
ATOMIC_POSITIONS crystal
Cd 0.879 0.121 0.240
Cd 0.624 0.874 0.500
Cd 0.126 0.375 0.000
Cd 0.879 0.121 0.760
Cd 0.371 0.121 0.760
Cd 0.126 0.376 0.500
Cd 0.371 0.629 0.759
Cd 0.879 0.629 0.240
Cd 0.625 0.874 0.000
Cd 0.125 0.875 0.000
Cd 0.371 0.121 0.240
Cd 0.625 0.375 0.000
Cd 0.879 0.629 0.760
Cd 0.371 0.629 0.241
Hg 0.123 0.877 0.500
Bi 0.626 0.374 0.500
! Space-group type   Amm2 (38)

Entry 16:
! Cd3Hg3Bi PBE-GGA relaxed; values from VASP
&SYSTEM
  ibrav = 0, nat = 14, ntyp = 3
/
ATOMIC_SPECIES
Cd 112.41 Cd.upf
Hg 200.59 Hg.upf
Bi 208.98 Bi.upf
CELL_PARAMETERS angstrom
8.010 -0.009 3.101
3.240 7.128 3.379
1.800 0.991 7.286
ATOMIC_POSITIONS crystal
Cd 0.477 0.632 0.715
Cd 0.523 0.368 0.285
Cd 0.369 0.821 0.282
Cd 0.827 0.524 0.280
Cd 0.631 0.179 0.718
Cd 0.173 0.476 0.720
Hg 0.886 0.315 0.751
Hg 0.689 0.950 0.246
Hg 0.053 0.886 0.749
Hg 0.311 0.050 0.754
Hg 0.947 0.114 0.251
Hg 0.114 0.685 0.249
Bi 0.282 0.277 0.157
Bi 0.718 0.723 0.843
! Space-group type   P-1 (2)
! Energy relative to the lowest polymorph listed for this composition   0.0000 eV per atom

Entry 17:
! CdHgBi2 PBE-GGA relaxed; values from VASP
&SYSTEM
  ibrav = 0, nat = 8, ntyp = 3
/
ATOMIC_SPECIES
Cd 112.41 Cd.upf
Bi 208.98 Bi.upf
Hg 200.59 Hg.upf
CELL_PARAMETERS angstrom
-6.214 -2.531 -0.988
2.457 -6.287 0.654
-3.021 -4.172 6.411
ATOMIC_POSITIONS crystal
Cd 0.500 0.500 0.000
Cd 0.250 0.750 0.500
Bi 0.875 0.875 0.750
Bi 0.625 0.125 0.250
Bi 0.375 0.375 0.750
Bi 0.125 0.625 0.250
Hg 0.750 0.250 0.500
Hg 0.000 0.000 0.000
! Space-group type   I-42d (122)
! Energy relative to the lowest polymorph listed for this composition   0.1507 eV per atom

Entry 18:
! Cd4Hg3Bi2 PBE-GGA relaxed; values from VASP
&SYSTEM
  ibrav = 0, nat = 9, ntyp = 3
/
ATOMIC_SPECIES
Cd 112.41 Cd.upf
Hg 200.59 Hg.upf
Bi 208.98 Bi.upf
CELL_PARAMETERS angstrom
3.434 -0.447 0.222
1.334 3.170 0.438
1.460 -0.439 20.858
ATOMIC_POSITIONS crystal
Cd 0.968 0.969 0.660
Cd 0.684 0.687 0.896
Cd 0.032 0.031 0.340
Cd 0.316 0.313 0.104
Hg 0.349 0.349 0.445
Hg 0.651 0.651 0.555
Hg 0.000 0.000 0.000
Bi 0.643 0.637 0.222
Bi 0.357 0.363 0.778
! Space-group type   P-1 (2)

Entry 19:
! CdHg6Bi PBE-GGA relaxed; values from VASP
&SYSTEM
  ibrav = 0, nat = 8, ntyp = 3
/
ATOMIC_SPECIES
Hg 200.59 Hg.upf
Bi 208.98 Bi.upf
Cd 112.41 Cd.upf
CELL_PARAMETERS angstrom
-2.474 -0.112 -5.058
-2.529 -5.795 -1.772
-7.777 -0.876 0.686
ATOMIC_POSITIONS crystal
Hg 0.231 0.928 0.610
Hg 0.380 0.290 0.951
Hg 0.620 0.710 0.049
Hg 0.127 0.443 0.303
Hg 0.769 0.072 0.390
Hg 0.873 0.557 0.697
Bi 0.000 0.000 0.000
Cd 0.500 0.500 0.500
! Space-group type   C2/m (12)

Entry 20:
! CdHgBi2 PBE-GGA relaxed; values from VASP
&SYSTEM
  ibrav = 0, nat = 4, ntyp = 3
/
ATOMIC_SPECIES
Bi 208.98 Bi.upf
Hg 200.59 Hg.upf
Cd 112.41 Cd.upf
CELL_PARAMETERS angstrom
-3.622 -4.028 0.004
-5.287 1.112 0.385
-3.241 -0.733 -4.278
ATOMIC_POSITIONS crystal
Bi 0.750 0.750 0.750
Bi 0.250 0.250 0.250
Hg 0.500 0.500 0.500
Cd 0.000 0.000 0.000
! Space-group type   Fm-3m (225)
! Energy relative to the lowest polymorph listed for this composition   0.0421 eV per atom

Number 1: VASP energy -12.3 eV for the cell shown. Number 2: VASP energy -32.7 eV for the cell shown. Number 3: VASP energy -9.6 eV for the cell shown. Number 4: VASP energy -19.6 eV for the cell shown. Number 5: VASP energy -14.2 eV for the cell shown. Number 6: VASP energy -14.0 eV for the cell shown. Number 7: VASP energy -11.7 eV for the cell shown. Number 8: VASP energy -9.3 eV for the cell shown. Number 9: VASP energy -15.4 eV for the cell shown. Number 10: VASP energy -13.2 eV for the cell shown. Number 11: VASP energy -11.9 eV for the cell shown. Number 12: VASP energy -9.8 eV for the cell shown. Number 13: VASP energy -8.5 eV for the cell shown. Number 14: VASP energy -10.4 eV for the cell shown. Number 15: VASP energy -16.5 eV for the cell shown. Number 16: VASP energy -14.6 eV for the cell shown. Number 17: VASP energy -15.9 eV for the cell shown. Number 18: VASP energy -11.9 eV for the cell shown. Number 19: VASP energy -6.1 eV for the cell shown. Number 20: VASP energy -8.4 eV for the cell shown.